Arrangement P

Below is a crystal of BeSiTc2 relaxed with PBEsol, with properties calculated at the SCAN level.

Total moment in Bohr magnetons per cell: 0.00
Volume in Å³ per cell: 49.76
Theoretical density in g cm⁻³: 7.8

a = 2.6757 Å, b = 3.7966 Å, c = 4.9411 Å
α = 90.00°, β = 97.53°, γ = 90.00°
With the nearest neighbours (Å) after each atom.
Space group P2/m (No. 10)
Unique sites:
Be 0.0000 0.0000 0.0000 (multiplicity 1)  4 Tc 2.40, 2 Si 2.65, 2 Be 2.68
Si 0.5000 0.0000 0.5000 (multiplicity 1)  4 Tc 2.41, 2 Be 2.65, 2 Si 2.68
Tc 0.2660 0.5000 0.7572 (multiplicity 2)  2 Be 2.40, 2 Si 2.41, 3 Tc 2.56-2.68


Arrangement Q

Below is a crystal of BeSiTc2 relaxed with PBEsol, with properties calculated at the SCAN level.

Total moment in Bohr magnetons per cell: 0.00
Volume in Å³ per cell: 47.53
Theoretical density in g cm⁻³: 8.1

a = 2.9244 Å, b = 2.9244 Å, c = 5.5574 Å
α = 90.00°, β = 90.00°, γ = 90.00°
With the nearest neighbours (Å) after each atom.
Space group P4mm (No. 99)
Unique sites:
Be 0.0000 0.0000 0.0000 (multiplicity 1)  4 Si 2.40, 5 Tc 2.42-2.66
Si 0.5000 0.5000 0.2209 (multiplicity 1)  4 Be 2.40, 5 Tc 2.49-2.51
Tc 0.0000 0.0000 0.4781 (multiplicity 1)  4 Si 2.51, 4 Tc 2.64, 1 Be 2.66
Tc 0.5000 0.5000 0.7737 (multiplicity 1)  4 Be 2.42, 1 Si 2.49, 4 Tc 2.64


Arrangement R

Below is a crystal of BeSiTc2 relaxed with PBEsol, with properties calculated at the SCAN level.

Total moment in Bohr magnetons per cell: 0.00
Volume in Å³ per cell: 99.90
Theoretical density in g cm⁻³: 7.7

a = 7.7952 Å, b = 2.7558 Å, c = 4.7479 Å
α = 90.00°, β = 101.62°, γ = 90.00°
With the nearest neighbours (Å) after each atom.
Space group C2/m (No. 12)
Unique sites:
Be 0.0000 0.0000 0.0000 (multiplicity 2)  6 Tc 2.44-2.47
Si 0.0000 0.5000 0.5000 (multiplicity 2)  6 Tc 2.50-2.51, 4 Be 2.74, 2 Si 2.76
Tc 0.2496 0.0000 0.7609 (multiplicity 4)  3 Be 2.44-2.47, 3 Si 2.50-2.51, 2 Tc 2.65


The energy of each structure relative to the most stable one, in meV per atom, is as follows: arrangement P 296; arrangement Q 0; arrangement R 308.


Arrangement P

Below is a crystal of BeSiTc2 relaxed with PBEsol, with properties calculated at the SCAN level.

Total moment in Bohr magnetons per cell: 0.00
Volume in Å³ per cell: 47.58
Theoretical density in g cm⁻³: 8.1

a = 4.0339 Å, b = 4.0339 Å, c = 2.9243 Å
α = 90.00°, β = 90.00°, γ = 90.00°
With the nearest neighbours (Å) after each atom.
Space group P4/mmm (No. 123)
Unique sites:
Be 0.0000 0.0000 0.0000 (multiplicity 1)  8 Tc 2.49
Si 0.5000 0.5000 0.0000 (multiplicity 1)  8 Tc 2.49
Tc 0.0000 0.5000 0.5000 (multiplicity 2)  4 Be 2.49, 4 Si 2.49


Arrangement Q

Below is a crystal of BeSiTc2 relaxed with PBEsol, with properties calculated at the SCAN level.

Total moment in Bohr magnetons per cell: 0.00
Volume in Å³ per cell: 95.69
Theoretical density in g cm⁻³: 8.1

a = 3.8659 Å, b = 2.8827 Å, c = 8.5865 Å
α = 90.00°, β = 90.00°, γ = 90.00°
With the nearest neighbours (Å) after each atom.
Space group Amm2 (No. 38)
Unique sites:
Be 0.0000 0.0000 0.0000 (multiplicity 2)  7 Tc 2.32-2.47, 2 Si 2.38
Si 0.5000 0.0000 0.8388 (multiplicity 2)  7 Tc 2.36-2.48, 2 Be 2.38
Tc 0.0000 0.0000 0.2707 (multiplicity 2)  3 Be 2.32-2.44, 4 Si 2.48
Tc 0.5000 0.0000 0.5636 (multiplicity 2)  3 Si 2.36-2.41, 4 Be 2.47


The energy of each structure relative to the most stable one, in meV per atom, is as follows: arrangement P 129; arrangement Q 0.


Arrangement P

Below is a crystal of BeSi2Te relaxed with PBEsol, with properties calculated at the SCAN level.

Total moment in Bohr magnetons per cell: 0.00
Volume in Å³ per cell: 211.00
Theoretical density in g cm⁻³: 4.6

a = 3.7169 Å, b = 3.7169 Å, c = 17.6359 Å
α = 90.00°, β = 90.00°, γ = 120.00°
With the nearest neighbours (Å) after each atom.
Space group R3m (No. 160, hexagonal axes)
Unique sites:
Be 0.0000 0.0000 0.0000 (multiplicity 3)  3 Te 2.54, 3 Si 2.55
Si 0.0000 0.0000 0.2557 (multiplicity 3)  3 Si 2.41, 3 Be 2.55
Si 0.0000 0.0000 0.5270 (multiplicity 3)  3 Si 2.41
Te 0.0000 0.0000 0.7433 (multiplicity 3)  3 Be 2.54


Arrangement Q

Below is a crystal of BeSi2Te relaxed with PBEsol, with properties calculated at the SCAN level.

Total moment in Bohr magnetons per cell: 0.00
Volume in Å³ per cell: 75.17
Theoretical density in g cm⁻³: 4.3

a = 3.7486 Å, b = 3.6637 Å, c = 5.4744 Å
α = 90.00°, β = 91.07°, γ = 90.00°
With the nearest neighbours (Å) after each atom.
Space group Pm (No. 6)
Unique sites:
Be 0.0000 0.0000 0.0000 (multiplicity 1)  4 Si 2.35-2.50
Si 0.4973 0.0000 0.2667 (multiplicity 1)  2 Be 2.35-2.41, 2 Si 2.36
Si 0.5465 0.5000 0.9990 (multiplicity 1)  2 Si 2.36, 2 Be 2.50, 1 Te 2.60
Te 0.0691 0.5000 0.6493 (multiplicity 1)  2 Si 2.60-2.76, 2 Be 2.67


Arrangement R

Below is a crystal of BeSi2Te relaxed with PBEsol, with properties calculated at the SCAN level.

Total moment in Bohr magnetons per cell: 0.00
Volume in Å³ per cell: 69.46
Theoretical density in g cm⁻³: 4.6

a = 3.5525 Å, b = 3.5525 Å, c = 5.5043 Å
α = 90.00°, β = 90.00°, γ = 90.00°
With the nearest neighbours (Å) after each atom.
Space group P4/mmm (No. 123)
Unique sites:
Be 0.0000 0.0000 0.0000 (multiplicity 1)  4 Te 2.51
Si 0.0000 0.5000 0.5000 (multiplicity 2)  4 Si 2.51
Te 0.5000 0.5000 0.0000 (multiplicity 1)  4 Be 2.51


The energy of each structure relative to the most stable one, in meV per atom, is as follows: arrangement P 0; arrangement Q 36; arrangement R 292.


Arrangement P

Below is a crystal of BeSi2Te relaxed with PBEsol, with properties calculated at the SCAN level.

Total moment in Bohr magnetons per cell: 0.00
Volume in Å³ per cell: 140.20
Theoretical density in g cm⁻³: 4.6

a = 5.1843 Å, b = 7.7041 Å, c = 3.5102 Å
α = 90.00°, β = 90.00°, γ = 90.00°
With the nearest neighbours (Å) after each atom.
Space group Cmmm (No. 65)
Unique sites:
Be 0.0000 0.0000 0.0000 (multiplicity 2)  2 Te 2.59
Si 0.2500 0.2500 0.5000 (multiplicity 4)  2 Si 2.59
Te 0.0000 0.5000 0.0000 (multiplicity 2)  2 Be 2.59


Arrangement Q

Below is a crystal of BeSi2Te relaxed with PBEsol, with properties calculated at the SCAN level.

Total moment in Bohr magnetons per cell: 0.01
Volume in Å³ per cell: 137.62
Theoretical density in g cm⁻³: 4.7

a = 3.7318 Å, b = 4.4917 Å, c = 8.2103 Å
α = 90.00°, β = 90.00°, γ = 90.00°
With the nearest neighbours (Å) after each atom.
Space group Cmmm (No. 65)
Unique sites:
Be 0.0000 0.0000 0.0000 (multiplicity 2)  4 Si 2.31
Si 0.0000 0.5000 0.1664 (multiplicity 4)  2 Be 2.31
Te 0.0000 0.0000 0.5000 (multiplicity 2)  4 Te 2.92


The energy of each structure relative to the most stable one, in meV per atom, is as follows: arrangement P 234; arrangement Q 0.